1.
A plane-wave DFT calculation with meta-GGA SCAN was carried out for a PBEsol-optimized structure of HfRu3W.

```
HfRu3W
1.0
-3.4790 -2.9396 0.0850
1.4621 -1.8432 -3.9008
2.5516 -2.9518 2.3512
Ru W Hf
3 1 1
direct
0.0000 0.0000 0.5000 Ru
0.0000 0.5000 0.0000 Ru
0.5000 0.0000 0.0000 Ru
0.5000 0.5000 0.5000 W
0.0000 0.0000 0.0000 Hf
```

Summary:
Energy of formation from the pure elements ... 9.986 eV per formula unit
Symmetry ... Pm-3m, No. 221
Volume ... 94.5 Å³/cell

---

2.
A plane-wave DFT calculation with meta-GGA SCAN was carried out for a PBEsol-optimized structure of La2Ge5Ir3.

```
La2Ge5Ir3
1.0
-1.8926 -2.5014 -5.1798
2.6763 -7.9727 -0.6674
-6.8351 -4.7801 1.2661
La Ge Ir
4 10 6
direct
0.1319 0.6379 0.0982 La
0.3681 0.9018 0.3621 La
0.8681 0.3621 0.9018 La
0.6319 0.0982 0.6379 La
0.5242 0.7258 0.7258 Ge
0.7500 0.0000 0.0000 Ge
0.4758 0.2742 0.2742 Ge
0.3990 0.4432 0.7589 Ge
0.8990 0.7589 0.4432 Ge
0.0242 0.7258 0.7258 Ge
0.9758 0.2742 0.2742 Ge
0.1010 0.2411 0.5568 Ge
0.6010 0.5568 0.2411 Ge
0.2500 0.0000 0.0000 Ge
0.2500 0.5000 0.5000 Ir
0.3593 0.2511 0.0303 Ir
0.8593 0.0303 0.2511 Ir
0.7500 0.5000 0.5000 Ir
0.1407 0.9697 0.7489 Ir
0.6407 0.7489 0.9697 Ir
```

Summary:
Energy of formation from the pure elements ... -9.420 eV per formula unit
Symmetry ... Ibam, No. 72
Volume ... 370.7 Å³/cell

---

Number 1: raw total energy -45.371 eV/atom. Number 2: raw total energy -40.437 eV/atom.